# ZnFe2O4 (PBE with a Hubbard U, optimized geometry)
data_ZnFe2O4
_symmetry_space_group_name_H-M 'I 41/a m d'
_symmetry_Int_Tables_number 141
_cell_length_a 5.833
_cell_length_b 5.833
_cell_length_c 8.935
_cell_angle_alpha 90.00
_cell_angle_beta 90.00
_cell_angle_gamma 90.00
loop_
_symmetry_equiv_pos_as_xyz
'x,y,z'
'-x,-y,-z'
'-y+1/4,x+3/4,z+1/4'
'y+1/4,-x+3/4,-z+1/4'
'-x+1/2,-y,z+1/2'
'x+1/2,y,-z+1/2'
'y+1/4,-x+1/4,z+3/4'
'-y+1/4,x+1/4,-z+3/4'
'x,-y,-z'
'-x,y,z'
'-y+1/4,-x+1/4,-z+3/4'
'y+1/4,x+1/4,z+3/4'
'-x+1/2,y,-z+1/2'
'x+1/2,-y,z+1/2'
'y+1/4,x+3/4,-z+1/4'
'-y+1/4,-x+3/4,z+1/4'
'x+1/2,y+1/2,z+1/2'
'-x+1/2,-y+1/2,-z+1/2'
'-y+3/4,x+1/4,z+3/4'
'y+3/4,-x+1/4,-z+3/4'
'-x,-y+1/2,z'
'x,y+1/2,-z'
'y+3/4,-x+3/4,z+1/4'
'-y+3/4,x+3/4,-z+1/4'
'x+1/2,-y+1/2,-z+1/2'
'-x+1/2,y+1/2,z+1/2'
'-y+3/4,-x+3/4,-z+1/4'
'y+3/4,x+3/4,z+1/4'
'-x,y+1/2,-z'
'x,-y+1/2,z'
'y+3/4,x+1/4,-z+3/4'
'-y+3/4,-x+1/4,z+3/4'
loop_
_atom_site_label
_atom_site_type_symbol
_atom_site_fract_x
_atom_site_fract_y
_atom_site_fract_z
Zn1 Zn 0.000 0.250 0.375
Fe1 Fe 0.000 0.000 0.000
O1 O 0.000 0.025 0.758
# - total magnetization (μB/cell) = 24.00
# - VASP energy (eV/atom) = -5.88
# - energy above the most stable polymorph in this dataset (meV/atom) = 94.7